! MoPBr3 | Alexandria | PBEsol | relaxed; values from VASP
&SYSTEM
  ibrav = 0, nat = 5, ntyp = 3
/
ATOMIC_SPECIES
Mo 95.94 Mo.upf
P 30.97 P.upf
Br 79.90 Br.upf
CELL_PARAMETERS angstrom
5.093 0.000 0.000
0.000 5.093 0.000
0.000 0.000 5.093
ATOMIC_POSITIONS angstrom
Mo 0.000 0.000 0.000
P 2.546 2.546 2.546
Br 0.000 0.000 2.546
Br 0.000 2.546 0.000
Br 2.546 0.000 0.000
! Formation energy from raw total energies   0.64 eV/atom
! Electronic total energy   -19.99 eV/cell
! Total magnetization   5.23 μB per formula unit

! MoPBr2 | Alexandria | PBEsol | relaxed; values from VASP
&SYSTEM
  ibrav = 0, nat = 4, ntyp = 3
/
ATOMIC_SPECIES
Mo 95.94 Mo.upf
P 30.97 P.upf
Br 79.90 Br.upf
CELL_PARAMETERS angstrom
3.239 0.000 0.000
0.000 3.239 0.000
0.000 0.000 7.532
ATOMIC_POSITIONS angstrom
Mo 0.000 0.000 0.000
P 1.620 1.620 0.944
Br 0.000 0.000 2.722
Br 1.620 1.620 5.620
! Formation energy from raw total energies   0.13 eV/atom
! Polymorph energy (0 for the lowest one)   0 meV/atom
! Electronic total energy   -20.79 eV/cell
! Total magnetization   0.00 μB per formula unit

! MoPBr2 | Alexandria | PBEsol | relaxed; values from VASP
&SYSTEM
  ibrav = 0, nat = 4, ntyp = 3
/
ATOMIC_SPECIES
Mo 95.94 Mo.upf
P 30.97 P.upf
Br 79.90 Br.upf
CELL_PARAMETERS angstrom
4.632 0.000 0.000
0.000 4.632 0.000
0.000 0.000 3.209
ATOMIC_POSITIONS angstrom
Mo 0.000 0.000 0.000
P 2.316 2.316 0.000
Br 0.000 2.316 1.605
Br 2.316 0.000 1.605
! Formation energy from raw total energies   0.98 eV/atom
! Polymorph energy (0 for the lowest one)   853 meV/atom
! Electronic total energy   -17.37 eV/cell
! Total magnetization   0.14 μB per formula unit

! MoPBr2 | Alexandria | PBEsol | relaxed; values from VASP
&SYSTEM
  ibrav = 0, nat = 4, ntyp = 3
/
ATOMIC_SPECIES
Mo 95.94 Mo.upf
P 30.97 P.upf
Br 79.90 Br.upf
CELL_PARAMETERS angstrom
3.008 0.000 0.000
0.000 3.008 0.000
0.000 0.000 8.608
ATOMIC_POSITIONS angstrom
Mo 0.000 0.000 0.000
P 0.000 0.000 4.304
Br 1.504 1.504 1.611
Br 1.504 1.504 6.997
! Formation energy from raw total energies   0.61 eV/atom
! Polymorph energy (0 for the lowest one)   484 meV/atom
! Electronic total energy   -18.85 eV/cell
! Total magnetization   0.00 μB per formula unit

! MoPbBr2 | Alexandria | PBEsol | relaxed; values from VASP
&SYSTEM
  ibrav = 0, nat = 4, ntyp = 3
/
ATOMIC_SPECIES
Mo 95.94 Mo.upf
Pb 207.20 Pb.upf
Br 79.90 Br.upf
CELL_PARAMETERS angstrom
3.297 0.000 0.000
0.000 3.297 0.000
0.000 0.000 8.261
ATOMIC_POSITIONS angstrom
Mo 0.000 0.000 0.000
Pb 1.649 1.649 2.165
Br 0.000 0.000 4.249
Br 1.649 1.649 7.084
! Formation energy from raw total energies   0.21 eV/atom
! Polymorph energy (0 for the lowest one)   0 meV/atom
! Electronic total energy   -18.65 eV/cell
! Total magnetization   0.00 μB per formula unit

! MoPbBr | Alexandria | PBEsol | relaxed; values from VASP
&SYSTEM
  ibrav = 0, nat = 3, ntyp = 3
/
ATOMIC_SPECIES
Mo 95.94 Mo.upf
Pb 207.20 Pb.upf
Br 79.90 Br.upf
CELL_PARAMETERS angstrom
0.000 2.766 7.789
1.595 0.000 7.789
1.595 2.766 0.000
ATOMIC_POSITIONS angstrom
Mo 0.000 0.000 0.000
Pb 1.595 2.766 5.301
Br 1.595 2.766 9.729
! Formation energy from raw total energies   0.48 eV/atom
! Electronic total energy   -16.19 eV/cell
! Total magnetization   0.65 μB per formula unit

! MoPbBr2 | Alexandria | PBEsol | relaxed; values from VASP
&SYSTEM
  ibrav = 0, nat = 4, ntyp = 3
/
ATOMIC_SPECIES
Mo 95.94 Mo.upf
Pb 207.20 Pb.upf
Br 79.90 Br.upf
CELL_PARAMETERS angstrom
-1.569 2.321 6.793
1.569 -2.321 6.793
1.569 2.321 -6.793
ATOMIC_POSITIONS angstrom
Mo 0.000 0.000 0.000
Pb 1.569 0.000 2.559
Br 0.000 0.000 7.234
Br 0.000 2.321 4.792
! Formation energy from raw total energies   0.26 eV/atom
! Polymorph energy (0 for the lowest one)   43 meV/atom
! Electronic total energy   -18.48 eV/cell
! Total magnetization   0.00 μB per formula unit

! MoPbBr2 | Alexandria | PBEsol | relaxed; values from VASP
&SYSTEM
  ibrav = 0, nat = 4, ntyp = 3
/
ATOMIC_SPECIES
Mo 95.94 Mo.upf
Pb 207.20 Pb.upf
Br 79.90 Br.upf
CELL_PARAMETERS angstrom
1.632 0.942 10.087
-1.632 0.942 10.087
0.000 -1.884 10.087
ATOMIC_POSITIONS angstrom
Mo 0.000 0.000 0.000
Pb 0.000 0.000 15.131
Br 0.000 0.000 2.403
Br 0.000 0.000 27.858
! Formation energy from raw total energies   0.32 eV/atom
! Polymorph energy (0 for the lowest one)   108 meV/atom
! Electronic total energy   -18.22 eV/cell
! Total magnetization   0.00 μB per formula unit

! MoPbBr2 | Alexandria | PBEsol | relaxed; values from VASP
&SYSTEM
  ibrav = 0, nat = 4, ntyp = 3
/
ATOMIC_SPECIES
Mo 95.94 Mo.upf
Pb 207.20 Pb.upf
Br 79.90 Br.upf
CELL_PARAMETERS angstrom
-2.554 2.554 3.636
2.554 -2.554 3.636
2.554 2.554 -3.636
ATOMIC_POSITIONS angstrom
Mo 0.000 0.000 0.000
Pb 0.000 0.000 3.636
Br 2.554 0.000 1.818
Br 0.000 2.554 1.818
! Formation energy from raw total energies   0.66 eV/atom
! Polymorph energy (0 for the lowest one)   449 meV/atom
! Electronic total energy   -16.86 eV/cell
! Total magnetization   3.97 μB per formula unit

! MoPdRhBr2 | Alexandria | PBEsol | relaxed; values from VASP
&SYSTEM
  ibrav = 0, nat = 5, ntyp = 4
/
ATOMIC_SPECIES
Mo 95.94 Mo.upf
Pd 106.42 Pd.upf
Rh 102.91 Rh.upf
Br 79.90 Br.upf
CELL_PARAMETERS angstrom
4.787 0.000 0.000
0.000 4.787 0.000
0.000 0.000 4.848
ATOMIC_POSITIONS angstrom
Mo 0.000 0.000 0.000
Pd 0.000 0.000 2.424
Rh 2.393 2.393 2.424
Br 0.000 2.393 0.000
Br 2.393 0.000 0.000
! Formation energy from raw total energies   1.21 eV/atom
! Electronic total energy   -23.57 eV/cell
! Total magnetization   1.26 μB per formula unit

! Mo2PtBr | Alexandria | PBEsol | relaxed; values from VASP
&SYSTEM
  ibrav = 0, nat = 4, ntyp = 3
/
ATOMIC_SPECIES
Mo 95.94 Mo.upf
Pt 195.08 Pt.upf
Br 79.90 Br.upf
CELL_PARAMETERS angstrom
-1.535 2.235 4.597
1.535 -2.235 4.597
1.535 2.235 -4.597
ATOMIC_POSITIONS angstrom
Mo 0.000 0.000 2.134
Mo 0.000 0.000 7.059
Pt 0.000 2.235 0.000
Br 1.535 0.000 0.000
! Formation energy from raw total energies   0.69 eV/atom
! Electronic total energy   -29.61 eV/cell
! Total magnetization   0.00 μB per formula unit

! MoPtBr2 | Alexandria | PBEsol | relaxed; values from VASP
&SYSTEM
  ibrav = 0, nat = 4, ntyp = 3
/
ATOMIC_SPECIES
Mo 95.94 Mo.upf
Pt 195.08 Pt.upf
Br 79.90 Br.upf
CELL_PARAMETERS angstrom
0.000 3.325 3.325
3.325 0.000 3.325
3.325 3.325 0.000
ATOMIC_POSITIONS angstrom
Mo 0.000 0.000 0.000
Pt 4.988 4.988 4.988
Br 1.663 1.663 1.663
Br 3.325 3.325 3.325
! Formation energy from raw total energies   0.84 eV/atom
! Electronic total energy   -19.11 eV/cell
! Total magnetization   2.03 μB per formula unit

! MoPtSe2Br | Alexandria | PBEsol | relaxed; values from VASP
&SYSTEM
  ibrav = 0, nat = 5, ntyp = 4
/
ATOMIC_SPECIES
Mo 95.94 Mo.upf
Pt 195.08 Pt.upf
Se 78.96 Se.upf
Br 79.90 Br.upf
CELL_PARAMETERS angstrom
4.806 0.000 0.000
0.000 4.806 0.000
0.000 0.000 4.871
ATOMIC_POSITIONS angstrom
Mo 0.000 0.000 0.000
Pt 2.403 2.403 2.436
Se 0.000 2.403 0.000
Se 2.403 0.000 0.000
Br 0.000 0.000 2.436
! Formation energy from raw total energies   0.78 eV/atom
! Electronic total energy   -24.39 eV/cell
! Total magnetization   0.00 μB per formula unit

! Rb3MoBr | Alexandria | PBEsol | relaxed; values from VASP
&SYSTEM
  ibrav = 0, nat = 5, ntyp = 3
/
ATOMIC_SPECIES
Rb 85.47 Rb.upf
Mo 95.94 Mo.upf
Br 79.90 Br.upf
CELL_PARAMETERS angstrom
6.945 0.000 0.000
0.000 6.945 0.000
0.000 0.000 6.945
ATOMIC_POSITIONS angstrom
Rb 0.000 0.000 3.472
Rb 0.000 3.472 0.000
Rb 3.472 0.000 0.000
Mo 0.000 0.000 0.000
Br 3.472 3.472 3.472
! Formation energy from raw total energies   0.76 eV/atom
! Electronic total energy   -12.90 eV/cell
! Total magnetization   6.17 μB per formula unit

! Rb2MoBr6 | Alexandria | PBEsol | relaxed; values from VASP
&SYSTEM
  ibrav = 0, nat = 9, ntyp = 3
/
ATOMIC_SPECIES
Rb 85.47 Rb.upf
Mo 95.94 Mo.upf
Br 79.90 Br.upf
CELL_PARAMETERS angstrom
0.000 5.188 5.188
5.188 0.000 5.188
5.188 5.188 0.000
ATOMIC_POSITIONS angstrom
Rb 2.594 2.594 2.594
Rb 7.782 7.782 7.782
Mo 0.000 0.000 0.000
Br 5.188 5.188 2.524
Br 5.188 2.524 5.188
Br 7.851 5.188 5.188
Br 2.524 5.188 5.188
Br 5.188 7.851 5.188
Br 5.188 5.188 7.851
! Formation energy from raw total energies   -1.10 eV/atom
! Electronic total energy   -34.92 eV/cell
! Total magnetization   2.00 μB per formula unit

! RbMo3Br7 | Alexandria | PBEsol | relaxed; values from VASP
&SYSTEM
  ibrav = 0, nat = 44, ntyp = 3
/
ATOMIC_SPECIES
Rb 85.47 Rb.upf
Mo 95.94 Mo.upf
Br 79.90 Br.upf
CELL_PARAMETERS angstrom
10.147 -7.754 0.000
10.147 7.754 0.000
-4.115 0.000 8.759
ATOMIC_POSITIONS angstrom
Rb 8.090 6.989 4.379
Rb 9.105 1.061 2.286
Rb 7.048 -1.061 6.665
Rb 10.147 -6.989 0.000
Mo 2.111 2.355 3.981
Mo 4.385 3.477 3.320
Mo 3.850 2.946 5.836
Mo 0.053 -2.355 8.360
Mo 10.221 2.931 7.516
Mo 13.819 3.445 1.284
Mo 5.907 -2.946 1.457
Mo 2.328 -3.477 7.699
Mo 16.083 2.327 0.607
Mo 12.278 -2.931 3.136
Mo 11.762 -3.445 5.663
Mo 14.026 -2.327 4.986
Br 3.367 4.886 7.469
Br 0.876 0.175 3.214
Br 1.601 1.864 6.469
Br -1.181 -0.175 7.593
Br 6.091 4.065 5.170
Br 6.327 2.942 1.708
Br 4.335 1.036 4.160
Br 7.990 4.051 8.216
Br 5.080 1.599 7.696
Br 3.658 -1.864 2.090
Br 10.749 4.857 5.871
Br 2.278 -1.036 8.539
Br 8.970 1.627 5.636
Br 11.921 2.858 2.930
Br 7.137 -1.599 3.317
Br 4.270 -2.942 6.087
Br 13.857 1.012 0.415
Br 5.425 -4.886 3.089
Br 12.459 1.837 6.868
Br 11.028 -1.627 1.257
Br 8.148 -4.065 0.791
Br 11.799 -1.012 4.794
Br 9.863 -2.858 7.309
Br 10.047 -4.051 3.837
Br 17.323 0.117 1.279
Br 14.516 -1.837 2.488
Br 15.266 -0.117 5.658
Br 12.807 -4.857 1.492
! Formation energy from raw total energies   -0.88 eV/atom
! Electronic total energy   -236.40 eV/cell
! Total magnetization   0.00 μB per formula unit

! RbMoSe2Br | Alexandria | PBEsol | relaxed; values from VASP
&SYSTEM
  ibrav = 0, nat = 5, ntyp = 4
/
ATOMIC_SPECIES
Rb 85.47 Rb.upf
Mo 95.94 Mo.upf
Se 78.96 Se.upf
Br 79.90 Br.upf
CELL_PARAMETERS angstrom
4.859 0.000 0.000
0.000 4.859 0.000
0.000 0.000 5.562
ATOMIC_POSITIONS angstrom
Rb 0.000 0.000 0.000
Mo 2.430 2.430 2.781
Se 0.000 2.430 2.781
Se 2.430 0.000 2.781
Br 2.430 2.430 0.000
! Formation energy from raw total energies   -0.55 eV/atom
! Electronic total energy   -25.11 eV/cell
! Total magnetization   0.00 μB per formula unit

! ReMoBr | Alexandria | PBEsol | relaxed; values from VASP
&SYSTEM
  ibrav = 0, nat = 3, ntyp = 3
/
ATOMIC_SPECIES
Re 186.21 Re.upf
Mo 95.94 Mo.upf
Br 79.90 Br.upf
CELL_PARAMETERS angstrom
-1.472 2.048 3.919
1.472 -2.048 3.919
1.472 2.048 -3.919
ATOMIC_POSITIONS angstrom
Re 0.000 0.000 0.000
Mo 0.000 0.000 2.673
Br 0.000 0.000 5.272
! Formation energy from raw total energies   1.01 eV/atom
! Electronic total energy   -23.95 eV/cell
! Total magnetization   0.00 μB per formula unit

! Re2MoBr | Alexandria | PBEsol | relaxed; values from VASP
&SYSTEM
  ibrav = 0, nat = 4, ntyp = 3
/
ATOMIC_SPECIES
Re 186.21 Re.upf
Mo 95.94 Mo.upf
Br 79.90 Br.upf
CELL_PARAMETERS angstrom
1.479 -2.364 0.000
1.479 2.364 0.000
0.000 0.000 9.198
ATOMIC_POSITIONS angstrom
Re 0.000 0.000 0.000
Re 1.479 0.000 2.127
Mo 1.479 0.000 6.994
Br 0.000 0.000 4.701
! Formation energy from raw total energies   0.78 eV/atom
! Polymorph energy (0 for the lowest one)   146 meV/atom
! Electronic total energy   -37.19 eV/cell
! Total magnetization   0.00 μB per formula unit

! ReMo2Br | Alexandria | PBEsol | relaxed; values from VASP
&SYSTEM
  ibrav = 0, nat = 4, ntyp = 3
/
ATOMIC_SPECIES
Re 186.21 Re.upf
Mo 95.94 Mo.upf
Br 79.90 Br.upf
CELL_PARAMETERS angstrom
0.000 3.145 3.145
3.145 0.000 3.145
3.145 3.145 0.000
ATOMIC_POSITIONS angstrom
Re 0.000 0.000 0.000
Mo 3.145 3.145 3.145
Mo 4.717 4.717 4.717
Br 1.572 1.572 1.572
! Formation energy from raw total energies   1.05 eV/atom
! Polymorph energy (0 for the lowest one)   370 meV/atom
! Electronic total energy   -34.53 eV/cell
! Total magnetization   0.00 μB per formula unit